Run i
A relaxed CuAgSn2 crystal, computed with PBE.

Output
Total magnetic moment   0.000 Bohr magnetons per cell
DOS(E_F)   1.874 states/eV per cell
Crystal system   tetragonal

```
data_CuAgSn2
_symmetry_space_group_name_H-M 'P 1'
_symmetry_Int_Tables_number 1
_cell_length_a 4.020
_cell_length_b 4.555
_cell_length_c 4.555
_cell_angle_alpha 90.00
_cell_angle_beta 90.00
_cell_angle_gamma 90.00
loop_
_symmetry_equiv_pos_as_xyz
'x,y,z'
loop_
_atom_site_label
_atom_site_fract_x
_atom_site_fract_y
_atom_site_fract_z
Ag1 0.500 0.500 0.500
Cu1 0.500 0.000 0.000
Sn1 0.000 0.500 0.000
Sn2 0.000 0.000 0.500
```

Run ii
A relaxed CuAgSn2 crystal, computed with PBE.

Output
Total magnetic moment   0.000 Bohr magnetons per cell
DOS(E_F)   3.239 states/eV per cell
Crystal system   monoclinic

```
data_CuAgSn2
_symmetry_space_group_name_H-M 'P 1'
_symmetry_Int_Tables_number 1
_cell_length_a 5.441
_cell_length_b 7.811
_cell_length_c 5.452
_cell_angle_alpha 114.16
_cell_angle_beta 119.93
_cell_angle_gamma 90.00
loop_
_symmetry_equiv_pos_as_xyz
'x,y,z'
loop_
_atom_site_label
_atom_site_fract_x
_atom_site_fract_y
_atom_site_fract_z
Sn1 0.828 0.887 0.588
Sn2 0.760 0.387 0.588
Cu1 0.220 0.250 0.000
Ag1 0.722 0.250 0.000
Sn3 0.240 0.613 0.412
Ag2 0.278 0.750 0.000
Sn4 0.172 0.113 0.412
Cu2 0.780 0.750 0.000
```

Stability ranking, top and bottom: run ii is the most stable and run i is the least stable.